Computed, not measured: a relaxed Tb6PmCd2 crystal at the PBE level of DFT.

Summary:
The polymorph energy (0 for the lowest one) is 75 meV per atom. The theoretical density comes out at 8.2 Mg/m³. For the final energy, the calculation gives -3.873 eV/atom. The formation energy from the elements is -0.055 eV/atom. Its symmetry is C2/c, No. 15.

Cell lengths 6.096, 9.629, 9.629 Å; angles 72.78, 85.28, 85.28 degrees
Positions (direct):
Tb1 0.491 0.679 0.434
Tb2 0.009 0.566 0.321
Tb3 0.509 0.321 0.566
Tb4 0.991 0.434 0.679
Tb5 0.663 0.100 0.353
Tb6 0.837 0.647 0.900
Tb7 0.337 0.900 0.647
Tb8 0.163 0.353 0.100
Tb9 0.310 0.730 0.030
Tb10 0.190 0.970 0.270
Tb11 0.690 0.270 0.970
Tb12 0.810 0.030 0.730
Pm1 0.250 0.103 0.897
Pm2 0.750 0.897 0.103
Cd1 0.406 0.539 0.789
Cd2 0.094 0.211 0.461
Cd3 0.594 0.461 0.211
Cd4 0.906 0.789 0.539

Computed, not measured: a relaxed Tb2PmCd crystal at the PBE level of DFT.

Summary:
The polymorph energy (0 for the lowest one) is 73 meV per atom. The theoretical density comes out at 7.8 Mg/m³. For the final energy, the calculation gives -3.810 eV/atom. The formation energy from the elements is -0.078 eV/atom. Its symmetry is R-3m, No. 166.

Cell lengths 3.606, 3.606, 11.078 Å; angles 80.63, 80.63, 60.00 degrees
Positions (direct):
Cd1 0.000 0.000 0.000
Tb1 0.256 0.256 0.231
Tb2 0.744 0.744 0.769
Pm1 0.500 0.500 0.500

Computed, not measured: a relaxed Tb8Pm6Cd crystal at the PBE level of DFT.

Summary:
The theoretical density comes out at 7.6 Mg/m³. For the final energy, the calculation gives -4.349 eV/atom. The formation energy from the elements is 0.082 eV/atom. Its symmetry is P-3, No. 147.

Cell lengths 6.343, 9.490, 9.490 Å; angles 120.00, 90.00, 90.00 degrees
Positions (direct):
Tb1 0.809 0.040 0.263
Tb2 0.809 0.737 0.778
Tb3 0.809 0.222 0.960
Tb4 0.191 0.960 0.737
Tb5 0.191 0.263 0.222
Tb6 0.191 0.778 0.040
Tb7 0.823 0.333 0.667
Tb8 0.177 0.667 0.333
Pm1 0.686 0.638 0.091
Pm2 0.686 0.909 0.547
Pm3 0.686 0.453 0.362
Pm4 0.314 0.362 0.909
Pm5 0.314 0.091 0.453
Pm6 0.314 0.547 0.638
Cd1 0.500 0.000 0.000

Computed, not measured: a relaxed Tb2Pm4Cd crystal at the PBE level of DFT.

Summary:
The polymorph energy (0 for the lowest one) is 0 meV per atom. The theoretical density comes out at 7.4 Mg/m³. For the final energy, the calculation gives -4.182 eV/atom. The formation energy from the elements is -0.013 eV/atom. Its symmetry is Cmmm, No. 65.

Cell lengths 3.609, 3.585, 17.577 Å; angles 90.00, 95.89, 90.00 degrees
Positions (direct):
Cd1 0.500 0.000 0.000
Tb1 0.793 0.500 0.586
Tb2 0.207 0.500 0.414
Pm1 0.938 0.500 0.877
Pm2 0.637 0.000 0.273
Pm3 0.062 0.500 0.123
Pm4 0.363 0.000 0.727

Computed, not measured: a relaxed TbPmCd4 crystal at the PBE level of DFT.

Summary:
The polymorph energy (0 for the lowest one) is 0 meV per atom. The theoretical density comes out at 8.3 Mg/m³. For the final energy, the calculation gives -2.507 eV/atom. The formation energy from the elements is -0.333 eV/atom. Its symmetry is P2/m, No. 10.

Cell lengths 3.453, 5.030, 9.358 Å; angles 90.00, 111.75, 90.00 degrees
Positions (direct):
Tb1 0.001 0.997 0.498
Pm1 0.501 0.497 0.998
Cd1 0.171 0.997 0.168
Cd2 0.831 0.997 0.829
Cd3 0.667 0.497 0.662
Cd4 0.336 0.497 0.334

Computed, not measured: a relaxed TbPm2Cd6 crystal at the PBE level of DFT.

Summary:
The theoretical density comes out at 8.2 Mg/m³. For the final energy, the calculation gives -2.515 eV/atom. The formation energy from the elements is -0.335 eV/atom. Its symmetry is P6/mmm, No. 191.

Cell lengths 3.439, 8.733, 8.733 Å; angles 120.00, 90.00, 90.00 degrees
Each line ends with the local moment (μB).
Positions (direct):
Tb1 0.000 0.000 0.000  0.02
Pm1 0.000 0.333 0.667  0.06
Pm2 0.000 0.667 0.333  0.06
Cd1 0.500 0.331 0.331  0.00
Cd2 0.500 0.669 0.669  0.00
Cd3 0.500 0.000 0.669  0.00
Cd4 0.500 0.669 0.000  0.00
Cd5 0.500 0.331 0.000  0.00
Cd6 0.500 0.000 0.331  0.00